Computed, not measured: a relaxed SrZnBr crystal at the PBE-GGA level of DFT.

Structure (POSCAR):
```
SrZnBr
1.0
5.2489 0.0000 0.0000
2.6245 4.5457 0.0000
2.6245 1.5152 4.2857
Br Zn Sr
1 1 1
Cartesian
0.0000 0.0000 0.0000
7.8734 4.5457 3.2143
5.2489 3.0305 2.1429
```


Computed, not measured: a relaxed Sr4ZnBr crystal at the PBE-GGA level of DFT.

Structure (POSCAR):
```
Sr4ZnBr
1.0
0.0000 5.3849 5.3849
5.3849 0.0000 5.3849
5.3849 5.3849 0.0000
Sr Br Zn
4 1 1
Cartesian
6.7238 4.0460 6.7238
4.0460 4.0460 4.0460
4.0460 6.7238 6.7238
6.7238 6.7238 4.0460
0.0000 0.0000 0.0000
8.0774 8.0774 8.0774
```


Number 1: energy -6.049 eV/cell. Number 2: energy -8.528 eV/cell.